# 1
SrHoCd2 | Alexandria via LeMat-Bulk | PBE | optimized geometry; total magnetization = 0.0 μB per formula unit; formation energy from the elements = -0.314 eV/atom; DOS(E_F) = 3.0 states/eV/cell
1.0
-1.177 -2.946 2.231
-2.118 -1.381 -2.942
6.078 -4.236 -2.387
Cd Sr Ho
2 1 1
Direct
0.000 0.000 0.784
0.000 0.000 0.216
0.500 0.500 0.500
0.500 0.500 0.000

---

# 2
SrHo2Cd3 | Alexandria via LeMat-Bulk | PBE | optimized geometry; total magnetization = 0.0 μB per formula unit; formation energy from the elements = -0.316 eV/atom; DOS(E_F) = 4.7 states/eV/cell
1.0
3.802 0.000 0.000
0.000 3.802 0.000
0.000 0.000 11.637
Cd Ho Sr
3 2 1
Direct
0.000 0.000 0.000
0.000 0.000 0.306
0.000 0.000 0.694
0.500 0.500 0.157
0.500 0.500 0.843
0.500 0.500 0.500

---

- The lowest DOS(E_F) belongs to which entry?
  SrHoCd2

---

- The highest DOS(E_F) belongs to which entry?
  SrHo2Cd3